# HoTa2FeC4, optimized geometry, DFT PBE
# - energy (eV for the cell shown) = -305.06
# - density (g/cm³) = 11.0
# - ΔE_f (eV/atom) = -0.3279
data_HoTa2FeC4
_chemical_formula_sum 'Ho4 Ta8 Fe4 C16'
_space_group_name_H-M_alt 'C m c m'
_space_group_IT_number 63
_space_group_name_Hall '-C 2c 2'
_cell_length_a 3.2028
_cell_length_b 10.9568
_cell_length_c 10.8387
_cell_angle_alpha 90.00
_cell_angle_beta 90.00
_cell_angle_gamma 90.00
loop_
_atom_site_label
_atom_site_type_symbol
_atom_site_fract_x
_atom_site_fract_y
_atom_site_fract_z
Ho1 Ho 0.0000 0.1035 0.2500
Ta1 Ta 0.0000 0.3692 0.0433
Fe1 Fe 0.0000 0.1624 0.7500
C1 C 0.0000 0.0000 0.0000
C2 C 0.0000 0.2657 0.6181
C3 C 0.0000 0.4254 0.2500

***

# ZnCd2Sb2, optimized geometry, DFT PBE
# - energy (eV for the cell shown) = -20.38
# - E_form (uncorrected) (eV per formula unit) = 1.16
# - density (g/cm³) = 6.2
# - energy above the lowest structure with this stoichiometry (meV per atom) = 66
data_ZnCd2Sb2
_chemical_formula_sum 'Zn2 Cd4 Sb4'
_space_group_name_H-M_alt 'I 4/m m m'
_space_group_IT_number 139
_space_group_name_Hall '-I 4 2'
_cell_length_a 4.5289
_cell_length_b 4.5289
_cell_length_c 13.8581
_cell_angle_alpha 90.00
_cell_angle_beta 90.00
_cell_angle_gamma 90.00
loop_
_atom_site_label
_atom_site_type_symbol
_atom_site_fract_x
_atom_site_fract_y
_atom_site_fract_z
Zn1 Zn 0.0000 0.0000 0.0000
Cd1 Cd 0.0000 0.0000 0.4017
Sb1 Sb 0.0000 0.5000 0.2500

***

# DyLuRu2, optimized geometry, DFT PBE
# - energy (eV for the cell shown) = -29.25
# - density (g/cm³) = 11.8
# - ΔE_f (eV/atom) = -0.3939
data_DyLuRu2
_chemical_formula_sum 'Dy1 Lu1 Ru2'
_space_group_name_H-M_alt 'P 4/m m m'
_space_group_IT_number 123
_space_group_name_Hall '-P 4 2'
_cell_length_a 3.3633
_cell_length_b 3.3633
_cell_length_c 6.7313
_cell_angle_alpha 90.00
_cell_angle_beta 90.00
_cell_angle_gamma 90.00
loop_
_atom_site_label
_atom_site_type_symbol
_atom_site_fract_x
_atom_site_fract_y
_atom_site_fract_z
Dy1 Dy 0.0000 0.0000 0.0000
Lu1 Lu 0.0000 0.0000 0.5000
Ru1 Ru 0.5000 0.5000 0.2546

***

# Pa2Co4MoAs3, optimized geometry, DFT PBE
# - energy (eV for the cell shown) = -77.71
# - density (g/cm³) = 10.7
# - ΔE_f (eV/atom) = -0.5513
data_Pa2Co4MoAs3
_chemical_formula_sum 'Pa2 Co4 Mo1 As3'
_space_group_name_H-M_alt 'P -4 m 2'
_space_group_IT_number 115
_cell_length_a 4.0151
_cell_length_b 4.0151
_cell_length_c 9.8112
_cell_angle_alpha 90.00
_cell_angle_beta 90.00
_cell_angle_gamma 90.00
loop_
_space_group_symop_operation_xyz
'x,y,z'
'y,-x,-z'
'-x,-y,z'
'-y,x,-z'
'-x,y,z'
'-y,-x,-z'
'x,-y,z'
'y,x,-z'
loop_
_atom_site_label
_atom_site_type_symbol
_atom_site_fract_x
_atom_site_fract_y
_atom_site_fract_z
Pa1 Pa 0.0000 0.5000 0.2390
Co1 Co 0.0000 0.0000 0.0000
Co2 Co 0.0000 0.5000 0.6332
Co3 Co 0.5000 0.5000 0.0000
Mo1 Mo 0.0000 0.0000 0.5000
As1 As 0.0000 0.5000 0.8700
As2 As 0.5000 0.5000 0.5000

***

# BaAc2Au6, optimized geometry, DFT PBE
# - energy (eV for the cell shown) = -72.40
# - density (g/cm³) = 11.5
# - ΔE_f (eV/atom) = -0.7108
data_BaAc2Au6
_chemical_formula_sum 'Ba2 Ac4 Au12'
_space_group_name_H-M_alt 'I m m m'
_space_group_IT_number 71
_space_group_name_Hall '-I 2 2'
_cell_length_a 4.1667
_cell_length_b 8.0461
_cell_length_c 15.2963
_cell_angle_alpha 90.00
_cell_angle_beta 90.00
_cell_angle_gamma 90.00
loop_
_atom_site_label
_atom_site_type_symbol
_atom_site_fract_x
_atom_site_fract_y
_atom_site_fract_z
Ba1 Ba 0.0000 0.0000 0.0000
Ac1 Ac 0.0000 0.5000 0.1442
Au1 Au 0.0000 0.1765 0.5000
Au2 Au 0.0000 0.3110 0.3270

***

# Ta2CoSe, optimized geometry, DFT PBE
# - energy (eV for the cell shown) = -68.41
# - E_form (uncorrected) (eV per formula unit) = 0.09
# - density (g/cm³) = 13.2
data_Ta2CoSe
_chemical_formula_sum 'Ta4 Co2 Se2'
_space_group_name_H-M_alt 'C 1 2/m 1'
_space_group_IT_number 12
_cell_length_a 5.8296
_cell_length_b 7.1235
_cell_length_c 3.0637
_cell_angle_alpha 90.00
_cell_angle_beta 99.30
_cell_angle_gamma 90.00
loop_
_space_group_symop_operation_xyz
'x,y,z'
'-x,-y,-z'
'-x,y,-z'
'x,-y,z'
'x+1/2,y+1/2,z'
'-x+1/2,-y+1/2,-z'
'-x+1/2,y+1/2,-z'
'x+1/2,-y+1/2,z'
loop_
_atom_site_label
_atom_site_type_symbol
_atom_site_fract_x
_atom_site_fract_y
_atom_site_fract_z
Ta1 Ta 0.2500 0.2500 0.0000
Co1 Co 0.0000 0.0000 0.5000
Se1 Se 0.0000 0.5000 0.5000

***

# Al2AgIr, optimized geometry, DFT PBE
# - energy (eV for the cell shown) = -38.55
# - density (g/cm³) = 9.2
# - ΔE_f (eV/atom) = -0.0200
data_Al2AgIr
_chemical_formula_sum 'Al4 Ag2 Ir2'
_space_group_name_H-M_alt 'C m m 2'
_space_group_IT_number 35
_cell_length_a 2.9322
_cell_length_b 4.8381
_cell_length_c 9.0385
_cell_angle_alpha 90.00
_cell_angle_beta 90.00
_cell_angle_gamma 90.00
loop_
_space_group_symop_operation_xyz
'x,y,z'
'-x,-y,z'
'-x,y,z'
'x,-y,z'
'x+1/2,y+1/2,z'
'-x+1/2,-y+1/2,z'
'-x+1/2,y+1/2,z'
'x+1/2,-y+1/2,z'
loop_
_atom_site_label
_atom_site_type_symbol
_atom_site_fract_x
_atom_site_fract_y
_atom_site_fract_z
Al1 Al 0.0000 0.0000 0.0000
Al2 Al 0.0000 0.5000 0.2536
Ag1 Ag 0.0000 0.5000 0.7461
Ir1 Ir 0.0000 0.0000 0.4699

***

# V4Si2B, optimized geometry, DFT PBE
# - energy (eV for the cell shown) = -109.92
# - E_form (uncorrected) (eV per formula unit) = -0.96
# - density (g/cm³) = 4.7
data_V4Si2B
_chemical_formula_sum 'V8 Si4 B2'
_space_group_name_H-M_alt 'I 4/m m m'
_space_group_IT_number 139
_space_group_name_Hall '-I 4 2'
_cell_length_a 3.8762
_cell_length_b 3.8762
_cell_length_c 12.7047
_cell_angle_alpha 90.00
_cell_angle_beta 90.00
_cell_angle_gamma 90.00
loop_
_atom_site_label
_atom_site_type_symbol
_atom_site_fract_x
_atom_site_fract_y
_atom_site_fract_z
V1 V 0.0000 0.0000 0.1654
V2 V 0.0000 0.5000 0.0000
Si1 Si 0.0000 0.0000 0.3604
B1 B 0.0000 0.0000 0.0000

***

# CePbAu3, optimized geometry, DFT PBE
# - energy (eV for the cell shown) = -86.75
# - density (g/cm³) = 13.2
# - ΔE_f (eV/atom) = -0.4426
data_CePbAu3
_chemical_formula_sum 'Ce4 Pb4 Au12'
_space_group_name_H-M_alt 'C m c m'
_space_group_IT_number 63
_space_group_name_Hall '-C 2c 2'
_cell_length_a 3.5234
_cell_length_b 28.0383
_cell_length_c 4.7945
_cell_angle_alpha 90.00
_cell_angle_beta 90.00
_cell_angle_gamma 90.00
loop_
_atom_site_label
_atom_site_type_symbol
_atom_site_fract_x
_atom_site_fract_y
_atom_site_fract_z
Ce1 Ce 0.0000 0.0741 0.2500
Pb1 Pb 0.0000 0.2122 0.7500
Au1 Au 0.0000 0.3251 0.7500
Au2 Au 0.0000 0.3784 0.2500
Au3 Au 0.0000 0.4761 0.2500

***

# TaIrW2, optimized geometry, DFT PBE
# - energy (eV for the cell shown) = -46.99
# - density (g/cm³) = 18.8
# - ΔE_f (eV/atom) = -0.0935
# - energy above the lowest structure with this stoichiometry (meV per atom) = 7
data_TaIrW2
_chemical_formula_sum 'Ta1 Ir1 W2'
_space_group_name_H-M_alt 'P 4 m m'
_space_group_IT_number 99
_cell_length_a 3.2318
_cell_length_b 3.2318
_cell_length_c 6.2488
_cell_angle_alpha 90.00
_cell_angle_beta 90.00
_cell_angle_gamma 90.00
loop_
_space_group_symop_operation_xyz
'x,y,z'
'-y,x,z'
'-x,-y,z'
'y,-x,z'
'-x,y,z'
'y,x,z'
'x,-y,z'
'-y,-x,z'
loop_
_atom_site_label
_atom_site_type_symbol
_atom_site_fract_x
_atom_site_fract_y
_atom_site_fract_z
Ta1 Ta 0.0000 0.0000 0.0000
Ir1 Ir 0.5000 0.5000 0.7579
W1 W 0.0000 0.0000 0.4931
W2 W 0.5000 0.5000 0.2593

***

# CrIrCl, optimized geometry, DFT PBE
# - energy (eV for the cell shown) = -78.25
# - E_form (uncorrected) (eV per formula unit) = 0.77
# - density (g/cm³) = 8.8
# - energy above the lowest structure with this stoichiometry (meV per atom) = 159
data_CrIrCl
_chemical_formula_sum 'Cr4 Ir4 Cl4'
_space_group_name_H-M_alt 'F m m 2'
_space_group_IT_number 42
_space_group_name_Hall 'F 2 -2'
_cell_length_a 3.0022
_cell_length_b 4.9888
_cell_length_c 14.0594
_cell_angle_alpha 90.00
_cell_angle_beta 90.00
_cell_angle_gamma 90.00
loop_
_atom_site_label
_atom_site_type_symbol
_atom_site_fract_x
_atom_site_fract_y
_atom_site_fract_z
Cr1 Cr 0.0000 0.0000 0.0000
Ir1 Ir 0.0000 0.0000 0.6392
Cl1 Cl 0.0000 0.0000 0.3736

***

# RbAs2SeF, optimized geometry, DFT PBE
# - energy (eV for the cell shown) = -15.67
# - E_form (uncorrected) (eV per formula unit) = -0.05
# - density (g/cm³) = 4.6
# - energy above the lowest structure with this stoichiometry (meV per atom) = 186
data_RbAs2SeF
_chemical_formula_sum 'Rb1 As2 Se1 F1'
_space_group_name_H-M_alt 'P 4/m m m'
_space_group_IT_number 123
_space_group_name_Hall '-P 4 2'
_cell_length_a 4.6242
_cell_length_b 4.6242
_cell_length_c 5.5811
_cell_angle_alpha 90.00
_cell_angle_beta 90.00
_cell_angle_gamma 90.00
loop_
_atom_site_label
_atom_site_type_symbol
_atom_site_fract_x
_atom_site_fract_y
_atom_site_fract_z
Rb1 Rb 0.0000 0.0000 0.0000
As1 As 0.0000 0.5000 0.5000
Se1 Se 0.5000 0.5000 0.0000
F1 F 0.5000 0.5000 0.5000